This record from Alexandria describes a relaxed SmPaTe2Se crystal. The functional is GGA-PBE.

The value obtained for the total energy is -5.9720 eV/atom. The total moment comes out at 0.1966 μB/atom. For the formation energy from raw total energies, the calculation gives -1175.4 meV/atom.

The space group is P4/nmm (No. 129, origin choice 2) and the conventional cell measures 4.3978, 4.3978 and 14.9158 Å, with angles of 90.00, 90.00 and 90.00 degrees. The distinct sites, in fractional coordinates, are Sm at (0.2500, 0.2500, 0.0860), Pa at (0.2500, 0.2500, 0.6286), Te at (0.2500, 0.2500, 0.2991), Te at (0.2500, 0.2500, 0.8722) and Se at (0.2500, 0.7500, 0.5000).

=====

This record from Alexandria describes a relaxed SmPaTeSe crystal. The functional is GGA-PBE.

The value obtained for the total energy is -6.2329 eV/atom. The total moment comes out at 0.2505 μB/atom. For the formation energy from raw total energies, the calculation gives -1022.6 meV/atom.

The space group is F-43m (No. 216) and the conventional cell measures 7.3669, 7.3669 and 7.3669 Å, with angles of 90.00, 90.00 and 90.00 degrees. The distinct sites, in fractional coordinates, are Sm at (0.0000, 0.0000, 0.0000), Pa at (0.0000, 0.0000, 0.5000), Te at (0.2500, 0.2500, 0.2500) and Se at (0.2500, 0.2500, 0.7500).

=====

This record from Alexandria describes a relaxed SmPaTl2Se4 crystal. The functional is GGA-PBE.

The value obtained for the total energy is -5.2644 eV/atom. The total moment comes out at 0.2550 μB/atom. For the formation energy from raw total energies, the calculation gives -1153.7 meV/atom.

The space group is P2/m (No. 10) and the conventional cell measures 7.2886, 4.1826 and 8.2629 Å, with angles of 90.00, 106.75 and 90.00 degrees. The distinct sites, in fractional coordinates, are Sm at (0.0000, 0.0000, 0.0000), Pa at (0.5000, 0.5000, 0.0000), Tl at (0.0000, 0.5000, 0.5000), Tl at (0.5000, 0.0000, 0.5000), Se at (0.2423, 0.5000, 0.2088) and Se at (0.2699, 0.0000, 0.7914).

=====

This record from Alexandria describes a relaxed Sm3PaTl3Se8 crystal. The functional is GGA-PBE.

The value obtained for the total energy is -5.2860 eV/atom. The total moment comes out at 0.0704 μB/atom. For the formation energy from raw total energies, the calculation gives -1377.5 meV/atom.

The space group is R-3m (No. 166, hexagonal axes) and the conventional cell measures 8.4952, 8.4952 and 23.4563 Å, with angles of 90.00, 90.00 and 120.00 degrees. The distinct sites, in fractional coordinates, are Sm at (0.0000, 0.5000, 0.0000), Pa at (0.0000, 0.0000, 0.0000), Tl at (0.0000, 0.5000, 0.5000), Se at (0.0000, 0.0000, 0.2641) and Se at (0.0077, 0.5039, 0.7345).

=====

This record from Alexandria describes a relaxed Sm2PaTl2Se6 crystal. The functional is GGA-PBE.

The value obtained for the total energy is -5.4302 eV/atom. The total moment comes out at 0.0978 μB/atom. For the formation energy from raw total energies, the calculation gives -1378.1 meV/atom.

The space group is C2/m (No. 12) and the conventional cell measures 7.3307, 12.6695 and 8.2034 Å, with angles of 90.00, 107.57 and 90.00 degrees. The distinct sites, in fractional coordinates, are Sm at (0.0000, 0.1668, 0.0000), Pa at (0.0000, 0.5000, 0.0000), Tl at (0.0000, 0.3318, 0.5000), Se at (0.2306, 0.3373, 0.2044) and Se at (0.2465, 0.0000, 0.2055).

=====

This record from Alexandria describes a relaxed SmTm2PaSe4 crystal. The functional is GGA-PBE.

The value obtained for the total energy is -6.2081 eV/atom. The total moment comes out at 0.0968 μB/atom. For the formation energy from raw total energies, the calculation gives -1571.1 meV/atom.

The space group is P2/m (No. 10) and the conventional cell measures 6.9745, 3.9922 and 7.2069 Å, with angles of 90.00, 108.48 and 90.00 degrees. The distinct sites, in fractional coordinates, are Sm at (0.0000, 0.0000, 0.0000), Tm at (0.0000, 0.5000, 0.5000), Tm at (0.5000, 0.0000, 0.5000), Pa at (0.5000, 0.5000, 0.0000), Se at (0.2480, 0.0000, 0.7384) and Se at (0.2568, 0.5000, 0.2632).

=====

This record from Alexandria describes a relaxed Pa5SnSe4 crystal. The functional is GGA-PBE.

The value obtained for the total energy is -7.4910 eV/atom. The total moment comes out at 0.2082 μB/atom. For the formation energy from raw total energies, the calculation gives -949.0 meV/atom.

The space group is Immm (No. 71) and the conventional cell measures 4.2788, 5.8605 and 19.9235 Å, with angles of 90.00, 90.00 and 90.00 degrees. The distinct sites, in fractional coordinates, are Pa at (0.0000, 0.0000, 0.0000), Pa at (0.0000, 0.0000, 0.1972), Pa at (0.0000, 0.0000, 0.3897), Sn at (0.0000, 0.5000, 0.0000), Se at (0.0000, 0.5000, 0.2059) and Se at (0.0000, 0.5000, 0.4013).

=====

This record from Alexandria describes a relaxed Pa2SnSe crystal. The functional is GGA-PBE.

The value obtained for the total energy is -7.1723 eV/atom. The total moment comes out at 0.4602 μB/atom. For the formation energy from raw total energies, the calculation gives -552.5 meV/atom.

The space group is P4/mmm (No. 123) and the conventional cell measures 3.4772, 3.4772 and 7.9394 Å, with angles of 90.00, 90.00 and 90.00 degrees. The distinct sites, in fractional coordinates, are Pa at (0.0000, 0.0000, 0.2280), Sn at (0.5000, 0.5000, 0.5000) and Se at (0.5000, 0.5000, 0.0000).

=====

This record from Alexandria describes a relaxed Pa2Sn2Se7 crystal. The functional is GGA-PBE.

The value obtained for the total energy is -5.6288 eV/atom. The total moment comes out at 0.0112 μB/atom. For the formation energy from raw total energies, the calculation gives -957.1 meV/atom.

The space group is Imm2 (No. 44) and the conventional cell measures 4.0178, 15.2911 and 9.2262 Å, with angles of 90.00, 90.00 and 90.00 degrees. The distinct sites, in fractional coordinates, are Pa at (0.0000, 0.2412, 0.0000), Sn at (0.0000, 0.0000, 0.7590), Sn at (0.0000, 0.5000, 0.7638), Se at (0.0000, 0.0000, 0.0583), Se at (0.0000, 0.1288, 0.4883), Se at (0.0000, 0.3179, 0.6975) and Se at (0.0000, 0.3477, 0.3098).

=====

This record from Alexandria describes a relaxed Pa3Sn2Se3 crystal. The functional is GGA-PBE.

The value obtained for the total energy is -6.7628 eV/atom. The total moment comes out at 0.3809 μB/atom. For the formation energy from raw total energies, the calculation gives -894.4 meV/atom.

The space group is P6_3/mcm (No. 193) and the conventional cell measures 9.0320, 9.0320 and 5.7674 Å, with angles of 90.00, 90.00 and 120.00 degrees. The distinct sites, in fractional coordinates, are Pa at (0.0000, 0.3657, 0.2500), Sn at (0.3333, 0.6667, 0.0000) and Se at (0.0000, 0.2745, 0.7500).

=====

This record from Alexandria describes a relaxed PaSn3Se6 crystal. The functional is GGA-PBE.

The value obtained for the total energy is -4.9428 eV/atom. The total moment comes out at 0.0000 μB/atom. For the formation energy from raw total energies, the calculation gives -701.6 meV/atom.

The space group is P2_1/m (No. 11) and the conventional cell measures 11.9427, 4.0352 and 12.2483 Å, with angles of 90.00, 103.36 and 90.00 degrees. The distinct sites, in fractional coordinates, are Pa at (0.0408, 0.2500, 0.1803), Sn at (0.1557, 0.2500, 0.6038), Sn at (0.3432, 0.7500, 0.0129), Sn at (0.4348, 0.2500, 0.3511), Se at (0.0701, 0.7500, 0.3596), Se at (0.0991, 0.2500, 0.9527), Se at (0.1883, 0.7500, 0.7592), Se at (0.2179, 0.7500, 0.1881), Se at (0.4047, 0.2500, 0.5896) and Se at (0.4798, 0.2500, 0.1251).